The following is a PBE with a Hubbard U calculation of an optimized crystal structure of KGdCoO3, from OQMD.

Computed properties:
SG ... Cmcm, No. 63
Uncorrected energy ... -6.35 eV per atom

Structure (CIF):
```
data_KGdCoO3
_chemical_formula_sum 'K2 Gd2 Co2 O6'
_symmetry_space_group_name_H-M 'P 1'
_symmetry_Int_Tables_number 1
_symmetry_space_group_name_Hall 'P 1'
_cell_length_a 6.124
_cell_length_b 6.124
_cell_length_c 9.213
_cell_angle_alpha 90.00
_cell_angle_beta 90.00
_cell_angle_gamma 146.48
loop_
_atom_site_label
_atom_site_type_symbol
_atom_site_fract_x
_atom_site_fract_y
_atom_site_fract_z
K1 K 0.227 0.773 0.750
K2 K 0.773 0.227 0.250
Gd1 Gd 0.500 0.500 0.000
Gd2 Gd 0.500 0.500 0.500
Co1 Co 0.048 0.952 0.250
Co2 Co 0.952 0.048 0.750
O1 O 0.116 0.884 0.063
O2 O 0.116 0.884 0.437
O3 O 0.456 0.544 0.250
O4 O 0.544 0.456 0.750
O5 O 0.884 0.116 0.563
O6 O 0.884 0.116 0.937
```